[1]
Entry from Alexandria via LeMat-Bulk: an optimized crystal structure of LaCo (GGA-PBE).

Calculated values
Symmetry: I4/m, No. 87
Formation enthalpy at 0 K in meV/atom: 104

The structure in POSCAR format:
```
LaCo
1.0
-4.852 -0.174 9.142
5.321 -8.470 2.663
2.667 2.133 1.456
La Co
8 8
direct
0.230 0.910 0.000
0.770 0.090 0.000
0.090 0.230 0.000
0.910 0.770 0.000
0.730 0.410 0.500
0.270 0.590 0.500
0.590 0.730 0.500
0.410 0.270 0.500
0.460 0.107 0.000
0.540 0.893 0.000
0.893 0.460 0.000
0.107 0.540 0.000
0.960 0.607 0.500
0.040 0.393 0.500
0.393 0.960 0.500
0.607 0.040 0.500
```

***

[2]
Entry from Alexandria via LeMat-Bulk: an optimized crystal structure of ZnCrCoNi (GGA-PBE).

Calculated values
Symmetry: F-43m, No. 216
Formation enthalpy at 0 K in meV/atom: 47

The structure in POSCAR format:
```
ZnCrCoNi
1.0
4.059 0.000 0.000
2.029 3.515 0.000
2.029 1.172 3.314
Ni Zn Co Cr
1 1 1 1
direct
0.750 0.750 0.750
0.500 0.500 0.500
0.250 0.250 0.250
0.000 0.000 0.000
```

***

[3]
Entry from Alexandria via LeMat-Bulk: an optimized crystal structure of CsPuNb2O8 (GGA-PBE).

Calculated values
ΔE_f (raw) in meV per atom: -2510
Symmetry: P-3m1, No. 164

The structure in POSCAR format:
```
CsPuNb2O8
1.0
6.116 0.000 0.000
-3.058 5.297 0.000
0.000 0.000 8.420
Cs Pu Nb O
1 1 2 8
direct
0.000 0.000 0.000
0.000 0.000 0.500
0.667 0.333 0.280
0.333 0.667 0.720
0.333 0.667 0.932
0.323 0.162 0.349
0.838 0.161 0.349
0.667 0.333 0.068
0.162 0.839 0.651
0.677 0.838 0.651
0.161 0.323 0.651
0.839 0.677 0.349
```

***

[4]
Entry from Alexandria via LeMat-Bulk: an optimized crystal structure of KNb2Sn (GGA-PBE).

Calculated values
Symmetry: I-42d, No. 122
Formation enthalpy at 0 K in meV/atom: 1240

The structure in POSCAR format:
```
KNb2Sn
1.0
-2.725 7.404 -2.696
-7.740 -1.980 2.384
-4.718 3.856 2.465
K Nb Sn
2 4 2
direct
0.500 0.500 0.000
0.250 0.750 0.500
0.664 0.125 0.250
0.086 0.625 0.250
0.375 0.336 0.750
0.875 0.914 0.750
0.000 0.000 0.000
0.750 0.250 0.500
```

***

[5]
Entry from Alexandria via LeMat-Bulk: an optimized crystal structure of Ag2IrSe (GGA-PBE).

Calculated values
ΔE_f (raw) in meV per atom: 409
Symmetry: Pmmm, No. 47

The structure in POSCAR format:
```
Ag2IrSe
1.0
3.088 0.000 0.000
0.000 4.593 0.000
0.000 0.000 4.858
Ag Ir Se
2 1 1
direct
0.000 0.000 0.000
0.500 0.500 0.000
0.500 0.000 0.500
0.000 0.500 0.500
```

***

[6]
Entry from Alexandria via LeMat-Bulk: an optimized crystal structure of PrSm2Hg2 (GGA-PBE).

Calculated values
Symmetry: P-3m1, No. 164
Formation enthalpy at 0 K in meV/atom: -239

The structure in POSCAR format:
```
PrSm2Hg2
1.0
-3.749 2.578 2.745
-0.366 -5.253 -0.709
3.323 -0.966 5.446
Pr Sm Hg
1 2 2
direct
0.000 0.000 0.000
0.333 0.667 0.656
0.667 0.333 0.344
0.333 0.667 0.169
0.667 0.333 0.831
```

***

[7]
Entry from Alexandria via LeMat-Bulk: an optimized crystal structure of SmHo2Bi (GGA-PBE).

Calculated values
Symmetry: R3m, No. 160
Formation enthalpy at 0 K in meV/atom: -158

The structure in POSCAR format:
```
SmHo2Bi
1.0
-2.853 2.610 1.186
-3.134 -1.294 2.204
2.928 2.175 9.153
Sm Ho Bi
1 2 1
direct
0.500 0.500 0.499
0.070 0.070 0.791
0.264 0.264 0.209
0.666 0.666 0.001
```

***

[8]
Entry from Alexandria via LeMat-Bulk: an optimized crystal structure of SrCd12Rh4 (GGA-PBE).

Calculated values
Symmetry: Im-3, No. 204
Formation enthalpy at 0 K in meV/atom: 102

The structure in POSCAR format:
```
SrCd12Rh4
1.0
8.214 0.000 0.000
-2.738 7.745 0.000
-2.738 -3.872 6.707
Sr Cd Rh
1 12 4
direct
0.000 0.000 0.000
0.834 0.344 0.178
0.344 0.509 0.166
0.822 0.166 0.656
0.344 0.178 0.834
0.178 0.834 0.344
0.656 0.491 0.834
0.509 0.166 0.344
0.491 0.834 0.656
0.656 0.822 0.166
0.834 0.656 0.491
0.166 0.344 0.509
0.166 0.656 0.822
0.000 0.500 0.000
0.500 0.000 0.000
0.500 0.500 0.500
0.000 0.000 0.500
```

***

[9]
Entry from Alexandria via LeMat-Bulk: an optimized crystal structure of CdHg2GeO4 (GGA-PBE).

Calculated values
ΔE_f (raw) in meV per atom: -900
Symmetry: Pmn2_1, No. 31

The structure in POSCAR format:
```
CdHg2GeO4
1.0
-4.344 -2.523 1.847
2.602 -6.599 -2.895
3.107 -1.238 5.616
Cd Hg Ge O
2 4 2 8
direct
0.991 0.093 0.500
0.491 0.907 0.000
0.466 0.357 0.295
0.466 0.357 0.705
0.966 0.643 0.795
0.966 0.643 0.205
0.501 0.820 0.500
0.001 0.180 0.000
0.346 0.193 0.000
0.846 0.807 0.500
0.406 0.040 0.500
0.906 0.960 0.000
0.412 0.722 0.737
0.912 0.278 0.237
0.912 0.278 0.763
0.412 0.722 0.263
```

***

[10]
Entry from Alexandria via LeMat-Bulk: an optimized crystal structure of Ag3Hg2Au4 (GGA-PBE).

Calculated values
Symmetry: P-1, No. 2
Formation enthalpy at 0 K in meV/atom: 45

The structure in POSCAR format:
```
Ag3Hg2Au4
1.0
4.943 -0.026 0.233
2.467 4.207 0.534
2.868 2.129 8.781
Ag Hg Au
3 2 4
direct
0.686 0.154 0.602
0.000 0.000 0.000
0.314 0.846 0.398
0.679 0.282 0.266
0.321 0.718 0.734
0.318 0.275 0.067
0.004 0.441 0.663
0.996 0.559 0.337
0.682 0.725 0.933
```

***

[11]
Entry from Alexandria via LeMat-Bulk: an optimized crystal structure of Li2Cu4Si (GGA-PBE).

Calculated values
ΔE_f (raw) in meV per atom: -105
Symmetry: C2/m, No. 12

The structure in POSCAR format:
```
Li2Cu4Si
1.0
-0.895 -0.971 -4.520
0.938 -4.376 -1.467
-4.149 4.180 7.151
Li Cu Si
2 4 1
direct
0.766 0.766 0.260
0.234 0.234 0.740
0.662 0.662 0.498
0.338 0.338 0.502
0.000 0.500 0.000
0.500 0.000 0.000
0.000 0.000 0.000
```

***

[12]
Entry from Alexandria via LeMat-Bulk: an optimized crystal structure of Au3C (GGA-PBE).

Calculated values
Symmetry: Cmmm, No. 65
Formation enthalpy at 0 K in meV/atom: 1134

The structure in POSCAR format:
```
Au3C
1.0
3.789 -0.019 0.000
-2.572 2.783 0.000
0.000 0.000 7.517
C Au
1 3
direct
0.500 0.500 0.250
0.000 0.000 0.056
0.500 0.500 0.750
0.000 0.000 0.444
```

***

no.,uncorrected energy (eV per cell)
1,-94.60
2,-23.60
3,-105.11
4,-40.56
5,-16.41
6,-16.02
7,-18.39
8,-40.34
9,-66.34
10,-21.86
11,-26.37
12,-14.52